Entry 1:
Here is a relaxed structure of Cs2ErGaBr6 from the Alexandria database. Energies are from PBE-GGA.

Results
- Raw formation energy: -1623 meV per atom
- SG: P2_1/c (14)
- DFT total energy: -3.557 eV per atom

abc: 8.167 8.275 14.232
angles: 90.00 124.97 90.00
Sites, in units of the cell vectors:
Cs: 0.240 0.042 0.250
Cs: 0.240 0.458 0.750
Cs: 0.760 0.542 0.250
Cs: 0.760 0.958 0.750
Er: 0.500 0.000 0.000
Er: 0.500 0.500 0.500
Ga: 0.000 0.000 0.500
Ga: 0.000 0.500 0.000
Br: 0.199 0.200 0.971
Br: 0.199 0.300 0.471
Br: 0.274 0.728 0.973
Br: 0.274 0.772 0.473
Br: 0.318 0.005 0.764
Br: 0.318 0.495 0.264
Br: 0.682 0.505 0.736
Br: 0.682 0.995 0.236
Br: 0.726 0.228 0.527
Br: 0.726 0.272 0.027
Br: 0.801 0.700 0.529
Br: 0.801 0.800 0.029



Entry 2:
Here is a relaxed structure of CsErGeBr6 from the Alexandria database. Energies are from PBE-GGA.

Results
- Raw formation energy: -1454 meV per atom
- SG: P312 (149)
- DFT total energy: -3.684 eV per atom

abc: 7.337 7.337 8.119
angles: 90.00 90.00 120.00
Sites, in units of the cell vectors:
Cs: 0.000 0.000 0.000
Er: 0.667 0.333 0.500
Ge: 0.333 0.667 0.500
Br: 0.378 0.005 0.699
Br: 0.378 0.374 0.301
Br: 0.626 0.005 0.301
Br: 0.626 0.622 0.699
Br: 0.995 0.374 0.699
Br: 0.995 0.622 0.301



Entry 3:
Here is a relaxed structure of Cs2ErHBr6 from the Alexandria database. Energies are from PBE-GGA.

Results
- SG: P-1 (2)
- DFT total energy: -3.466 eV per atom

abc: 7.534 7.788 7.791
angles: 110.11 108.10 108.13
Sites, in units of the cell vectors:
Cs: 0.000 0.230 0.270
Cs: 0.000 0.770 0.730
Er: 0.500 0.500 0.000
H: 0.500 0.000 0.500
Br: 0.069 0.331 0.830
Br: 0.400 0.134 0.633
Br: 0.498 0.284 0.213
Br: 0.502 0.716 0.787
Br: 0.600 0.866 0.367
Br: 0.931 0.669 0.170



Entry 4:
Here is a relaxed structure of Cs2ErHgBr6 from the Alexandria database. Energies are from PBE-GGA.

Results
- Raw formation energy: -1501 meV per atom
- SG: Pmmn (59)
- DFT total energy: -3.162 eV per atom

abc: 8.280 11.691 8.281
angles: 90.00 90.00 90.00
Sites, in units of the cell vectors:
Cs: 0.250 0.000 0.249
Cs: 0.250 0.500 0.249
Cs: 0.750 0.000 0.751
Cs: 0.750 0.500 0.751
Er: 0.250 0.250 0.752
Er: 0.750 0.750 0.248
Hg: 0.250 0.750 0.748
Hg: 0.750 0.250 0.252
Br: 0.012 0.250 0.515
Br: 0.013 0.250 0.990
Br: 0.250 0.013 0.752
Br: 0.250 0.487 0.752
Br: 0.487 0.250 0.990
Br: 0.488 0.250 0.515
Br: 0.512 0.750 0.485
Br: 0.513 0.750 0.010
Br: 0.750 0.513 0.248
Br: 0.750 0.987 0.248
Br: 0.987 0.750 0.010
Br: 0.988 0.750 0.485



Entry 5:
Here is a relaxed structure of CsErHgBr6 from the Alexandria database. Energies are from PBE-GGA.

Results
- Raw formation energy: -1386 meV per atom
- SG: P312 (149)
- DFT total energy: -3.137 eV per atom

abc: 7.379 7.379 8.083
angles: 90.00 90.00 120.00
Sites, in units of the cell vectors:
Cs: 0.000 0.000 0.000
Er: 0.333 0.667 0.500
Hg: 0.667 0.333 0.500
Br: 0.008 0.384 0.704
Br: 0.008 0.624 0.296
Br: 0.376 0.384 0.296
Br: 0.376 0.992 0.704
Br: 0.616 0.624 0.704
Br: 0.616 0.992 0.296



Entry 6:
Here is a relaxed structure of CsLiErBr5 from the Alexandria database. Energies are from PBE-GGA.

Results
- Raw formation energy: -1779 meV per atom
- SG: C2/c (15)
- DFT total energy: -3.741 eV per atom

abc: 8.096 8.096 10.673
angles: 103.73 103.73 106.72
Sites, in units of the cell vectors:
Cs: 0.159 0.841 0.750
Cs: 0.841 0.159 0.250
Li: 0.193 0.807 0.250
Li: 0.807 0.193 0.750
Er: 0.500 0.500 0.000
Er: 0.500 0.500 0.500
Br: 0.136 0.272 0.919
Br: 0.208 0.603 0.402
Br: 0.272 0.136 0.419
Br: 0.397 0.792 0.098
Br: 0.436 0.564 0.750
Br: 0.564 0.436 0.250
Br: 0.603 0.208 0.902
Br: 0.728 0.864 0.581
Br: 0.792 0.397 0.598
Br: 0.864 0.728 0.081